# TiCoW3 | Alexandria via LeMat-Bulk | PBE | relaxed
data_TiCoW3
_chemical_formula_sum 'Ti1 Co1 W3'
_cell_length_a 4.4664
_cell_length_b 4.4664
_cell_length_c 4.4664
_cell_angle_alpha 90.00
_cell_angle_beta 90.00
_cell_angle_gamma 90.00
_space_group_name_H-M_alt 'P m -3 m'
_space_group_IT_number 221
_space_group_name_Hall '-P 4 2 3'
loop_
_atom_site_label
_atom_site_fract_x
_atom_site_fract_y
_atom_site_fract_z
Ti1 0.0000 0.0000 0.0000
Co1 0.5000 0.5000 0.5000
W1 0.0000 0.5000 0.5000
# **Theoretical density**: 12.3 g/cm³
# **Formation energy**: 6.09 eV/f.u.
# **Excess energy over the best structure of this formula in the dataset**: 0 meV/atom

***

# Ti2CoW2 | Alexandria via LeMat-Bulk | PBE | relaxed
data_Ti2CoW2
_chemical_formula_sum 'Ti4 Co2 W4'
_cell_length_a 6.3308
_cell_length_b 6.3308
_cell_length_c 4.0675
_cell_angle_alpha 90.00
_cell_angle_beta 90.00
_cell_angle_gamma 90.00
_space_group_name_H-M_alt 'P 4/m b m'
_space_group_IT_number 127
_space_group_name_Hall '-P 4 2ab'
loop_
_atom_site_label
_atom_site_fract_x
_atom_site_fract_y
_atom_site_fract_z
Ti1 0.1682 0.3318 0.0000
Co1 0.0000 0.0000 0.5000
W1 0.1448 0.6448 0.5000
# **Theoretical density**: 10.6 g/cm³
# **Formation energy**: 1.86 eV/f.u.
# **Excess energy over the best structure of this formula in the dataset**: 0 meV/atom

***

> What is the excess energy over the best structure of this formula in the dataset in the first record?

0 meV/atom